Entry 1:
VASP calculation (PBE-GGA) on a relaxed structure of K3Rb5Te4H24S4O40.

- Space group: P1, No. 1

abc: 6.6959 11.5993 13.6786
angles: 73.19 89.92 89.92
Closest atoms and distances in Å follow each position.
Positions (direct):
K (0.0000, 0.0000, 0.0000)  7 O 2.88-3.09, 1 H 3.14
K (0.0372, 0.6799, 0.7222)  7 O 2.86-3.09, 1 H 3.14
K (0.5000, 0.1808, 0.7208)  7 O 2.85-3.07, 1 H 3.14
Rb (0.0183, 0.2408, 0.2212)  9 O 3.05-3.27, 4 H 3.34-3.41
Rb (0.0189, 0.4421, 0.5007)  9 O 3.04-3.36, 4 H 3.30-3.39
Rb (0.5179, 0.9417, 0.5014)  9 O 3.03-3.36, 4 H 3.29-3.38
Rb (0.5212, 0.7436, 0.2211)  9 O 3.02-3.32, 3 H 3.28-3.37
Rb (0.5356, 0.4976, 0.0017)  7 O 2.93-3.15, 2 H 3.14-3.28
Te (0.0157, 0.3402, 0.8579)  6 O 1.95-1.96
Te (0.0180, 0.8419, 0.3616)  6 O 1.95-1.96
Te (0.5202, 0.3404, 0.3624)  6 O 1.95-1.96
Te (0.5205, 0.8425, 0.8603)  6 O 1.95-1.96
H (0.0109, 0.6731, 0.2791)  1 O 1.00
H (0.0250, 0.0116, 0.4433)  1 O 1.00
H (0.0747, 0.4745, 0.9681)  1 O 1.01
H (0.1974, 0.7455, 0.9353)  1 O 1.00
H (0.2243, 0.7063, 0.4983)  1 O 1.00
H (0.2595, 0.4284, 0.7197)  1 O 1.00
H (0.2642, 0.4769, 0.2548)  1 O 1.01
H (0.2757, 0.9748, 0.2529)  1 O 1.01
H (0.2778, 0.9301, 0.7218)  1 O 1.00
H (0.3117, 0.2045, 0.4981)  1 O 1.00
H (0.3388, 0.2433, 0.9342)  1 O 1.00
H (0.4619, 0.9756, 0.9700)  1 O 1.01
H (0.5108, 0.5107, 0.4439)  1 O 1.00
H (0.5269, 0.1723, 0.2783)  1 O 1.00
H (0.5766, 0.7059, 0.7528)  1 O 1.01
H (0.6922, 0.4353, 0.7821)  1 O 1.00
H (0.7276, 0.4770, 0.2262)  1 O 1.00
H (0.7600, 0.7084, 0.4699)  1 O 1.01
H (0.7629, 0.7528, 0.9989)  1 O 1.00
H (0.7748, 0.2500, 0.9974)  1 O 1.00
H (0.7772, 0.2064, 0.4712)  1 O 1.01
H (0.8125, 0.9775, 0.2242)  1 O 1.00
H (0.8437, 0.9374, 0.7850)  1 O 1.00
H (0.9610, 0.2035, 0.7509)  1 O 1.01
S (0.0140, 0.0746, 0.6149)  4 O 1.49-1.50
S (0.0289, 0.6075, 0.1090)  4 O 1.49-1.50
S (0.5122, 0.1045, 0.1067)  4 O 1.49-1.50
S (0.5229, 0.5758, 0.6145)  4 O 1.49-1.51
O (0.0138, 0.7281, 0.0299)  1 S 1.50
O (0.0259, 0.9514, 0.6906)  1 S 1.50
O (0.0910, 0.1663, 0.6626)  1 S 1.49, 1 H 1.64
O (0.1045, 0.6978, 0.3267)  1 H 1.00
O (0.1098, 0.4291, 0.7213)  1 H 1.00
O (0.1290, 0.7727, 0.4985)  1 H 1.00
O (0.1426, 0.0780, 0.5242)  1 S 1.50
O (0.1556, 0.4551, 0.9127)  1 H 1.01
O (0.2401, 0.5867, 0.1438)  1 S 1.49
O (0.2525, 0.2374, 0.8761)  1 H 1.00
O (0.2566, 0.4097, 0.3205)  1 H 1.01
O (0.2820, 0.9106, 0.3205)  1 H 1.01
O (0.2850, 0.7390, 0.8777)  1 H 1.00
O (0.3004, 0.0791, 0.1392)  1 S 1.49
O (0.3767, 0.9552, 0.9165)  1 H 1.01
O (0.3938, 0.5804, 0.5239)  1 S 1.50
O (0.4073, 0.2705, 0.4987)  1 H 1.00
O (0.4275, 0.9319, 0.7236)  1 H 1.00
O (0.4336, 0.1973, 0.3259)  1 H 1.00
O (0.4461, 0.6660, 0.6641)  1 S 1.49, 1 H 1.67
O (0.5117, 0.4515, 0.6888)  1 S 1.51
O (0.5232, 0.2260, 0.0284)  1 S 1.50
O (0.5884, 0.0102, 0.0615)  1 S 1.49, 1 H 1.66
O (0.6064, 0.4839, 0.3982)  1 H 1.00
O (0.6132, 0.7545, 0.9972)  1 H 1.00
O (0.6344, 0.4096, 0.2263)  1 H 1.00
O (0.6421, 0.1045, 0.1961)  1 S 1.50
O (0.6640, 0.7298, 0.8037)  1 H 1.01
O (0.7347, 0.6029, 0.5830)  1 S 1.49
O (0.7537, 0.7735, 0.4028)  1 H 1.01
O (0.7563, 0.9455, 0.8422)  1 H 1.00
O (0.7800, 0.4431, 0.8392)  1 H 1.00
O (0.7838, 0.2713, 0.4040)  1 H 1.01
O (0.8018, 0.1011, 0.5838)  1 S 1.49
O (0.8736, 0.2268, 0.8024)  1 H 1.01
O (0.8937, 0.6057, 0.1970)  1 S 1.50
O (0.9076, 0.9108, 0.2246)  1 H 1.00
O (0.9246, 0.2517, 0.9954)  1 H 1.00
O (0.9308, 0.9860, 0.3964)  1 H 1.00
O (0.9642, 0.5102, 0.0646)  1 S 1.49, 1 H 1.67

---

Entry 2:
VASP calculation (PBE-GGA) on a relaxed structure of CaMgCo2.

- Space group: C2/m, No. 12

abc: 4.5620 4.5620 5.7610
angles: 115.93 115.93 52.93
Closest atoms and distances in Å follow each position.
Positions (direct):
Ca (0.0000, 0.0000, 0.0000)  2 Co 2.78
Mg (0.5000, 0.5000, 0.5000)  6 Co 2.55-2.57
Co (0.2083, 0.2083, 0.5531)  2 Co 2.32, 3 Mg 2.55-2.57
Co (0.7917, 0.7917, 0.4469)  2 Co 2.32, 3 Mg 2.55-2.57

---

Entry 3:
VASP calculation (PBE-GGA) on a relaxed structure of LiNiAs2.

- Space group: Pmm2, No. 25

abc: 2.9178 3.9300 5.1744
angles: 90.00 90.00 90.00
Closest atoms and distances in Å follow each position.
Positions (direct):
Li (0.0000, 0.0000, 0.0000)  6 As 2.49-2.68
Ni (0.5000, 0.5000, 0.3278)  6 As 2.51-2.67
As (0.0000, 0.0000, 0.4820)  2 Li 2.49-2.68, 4 Ni 2.57
As (0.5000, 0.5000, 0.8431)  2 Ni 2.51-2.67, 4 Li 2.58

---

Entry 4:
VASP calculation (PBE-GGA) on a relaxed structure of Y5Tm2Sc.

- Space group: Cmcm, No. 63

abc: 6.5032 6.5032 15.6258
angles: 90.00 90.00 130.62
Closest atoms and distances in Å follow each position.
Positions (direct):
Y (0.0338, 0.9662, 0.7500)  1 Sc 3.16, 2 Tm 3.37
Y (0.1233, 0.8767, 0.0478)  3 Tm 3.27-3.41, 5 Y 3.27-3.66, 1 Sc 3.42
Y (0.1233, 0.8767, 0.4522)  3 Tm 3.27-3.41, 5 Y 3.27-3.66, 1 Sc 3.42
Y (0.4243, 0.5757, 0.0984)  1 Sc 3.27, 6 Y 3.56-3.64, 1 Tm 3.58
Y (0.4243, 0.5757, 0.4016)  1 Sc 3.27, 6 Y 3.56-3.64, 1 Tm 3.58
Y (0.5757, 0.4243, 0.5984)  1 Sc 3.27, 6 Y 3.56-3.64, 1 Tm 3.58
Y (0.5757, 0.4243, 0.9016)  1 Sc 3.27, 6 Y 3.56-3.64, 1 Tm 3.58
Y (0.8767, 0.1233, 0.5478)  3 Tm 3.27-3.41, 5 Y 3.27-3.66, 1 Sc 3.42
Y (0.8767, 0.1233, 0.9522)  3 Tm 3.27-3.41, 5 Y 3.27-3.66, 1 Sc 3.42
Y (0.9662, 0.0338, 0.2500)  1 Sc 3.16, 2 Tm 3.37
Tm (0.2771, 0.7229, 0.6370)  2 Sc 3.24, 5 Y 3.27-3.58, 1 Tm 3.53
Tm (0.2771, 0.7229, 0.8630)  2 Sc 3.24, 5 Y 3.27-3.58, 1 Tm 3.53
Tm (0.7229, 0.2771, 0.1370)  2 Sc 3.24, 5 Y 3.27-3.58, 1 Tm 3.53
Tm (0.7229, 0.2771, 0.3630)  2 Sc 3.24, 5 Y 3.27-3.58, 1 Tm 3.53
Sc (0.2338, 0.7662, 0.2500)  5 Y 3.16-3.42, 4 Tm 3.24
Sc (0.7662, 0.2338, 0.7500)  5 Y 3.16-3.42, 4 Tm 3.24

---

Entry 5:
VASP calculation (PBE-GGA) on a relaxed structure of ZnTcNi2.

- Space group: Pmmm, No. 47

abc: 2.7065 4.2634 4.3839
angles: 90.00 90.00 90.00
Closest atoms and distances in Å follow each position.
Positions (direct):
Zn (0.0000, 0.0000, 0.0000)  4 Ni 2.52, 4 Tc 2.58, 2 Zn 2.71
Tc (0.5000, 0.0000, 0.5000)  4 Ni 2.52, 4 Zn 2.58, 2 Tc 2.71
Ni (0.0000, 0.5000, 0.5000)  4 Tc 2.52, 6 Ni 2.58-2.71
Ni (0.5000, 0.5000, 0.0000)  4 Zn 2.52, 6 Ni 2.58-2.71

---

Entry 6:
VASP calculation (PBE-GGA) on a relaxed structure of DyAl2Tc.

- Space group: P4/mmm, No. 123

abc: 3.2115 3.2115 7.0929
angles: 90.00 90.00 90.00
Closest atoms and distances in Å follow each position.
Positions (direct):
Dy (0.0000, 0.0000, 0.0000)  8 Al 3.17, 4 Dy 3.21, 2 Tc 3.55
Al (0.5000, 0.5000, 0.3124)  4 Tc 2.63, 1 Al 2.66
Al (0.5000, 0.5000, 0.6876)  4 Tc 2.63, 1 Al 2.66
Tc (0.0000, 0.0000, 0.5000)  8 Al 2.63

---

| no. | total energy (Ry per atom) |
| --- | --- |
| 1 | -0.387 |
| 2 | -0.313 |
| 3 | -0.321 |
| 4 | -0.428 |
| 5 | -0.415 |
| 6 | -0.437 |